1.
Material: NiTe2Br
Method: DFT, GGA-PBE
State: relaxed

Results
SG	No. 15
formation energy (no corrections)	-0.097	eV/atom
E	-0.260	Ry/atom
DOS(E_F)	0.56	states/eV/atom
M_tot	0.00	μB per atom

Structure (POSCAR):
```
NiTe2Br
1.0
4.0570 0.6853 0.0000
2.6149 8.0487 0.0000
2.0285 0.3427 7.5338
Ni Te Br
2 4 2
direct
0.3220 0.2500 0.3559
0.6780 0.7500 0.6441
0.4299 0.9005 0.3730
0.8030 0.4005 0.6270
0.1970 0.5995 0.3730
0.5701 0.0995 0.6270
0.9225 0.2500 0.1550
0.0775 0.7500 0.8450
```



2.
Material: NiTe2Br
Method: DFT, GGA-PBE
State: relaxed

Results
SG	No. 122
formation energy (no corrections)	0.079	eV/atom
E	-0.247	Ry/atom
DOS(E_F)	1.26	states/eV/atom
M_tot	0.00	μB per atom

Structure (POSCAR):
```
NiTe2Br
1.0
-3.7721 -2.8313 -4.9709
5.1333 0.9528 -4.4381
2.6061 -5.6422 -3.4869
Te Br Ni
4 2 2
direct
0.8750 0.7854 0.7500
0.3750 0.4646 0.7500
0.2146 0.6250 0.2500
0.5354 0.1250 0.2500
0.0000 0.0000 0.0000
0.7500 0.2500 0.5000
0.5000 0.5000 0.0000
0.2500 0.7500 0.5000
```